Record 1
Material: YErCu2Si2
Method: DFT, GGA-PBE
State: relaxed

Cell: 4.171 4.171 7.344 Å, 90.00 90.00 120.00°
Positions (direct):
Y (0.000, 0.000, 0.000)
Er (0.000, 0.000, 0.500)
Cu (0.333, 0.667, 0.730)
Cu (0.667, 0.333, 0.234)
Si (0.333, 0.667, 0.267)
Si (0.667, 0.333, 0.763)

Electronic total energy in eV per atom: -5.556
Relative energy among the computed polymorphs in eV per atom: 0.003
Space-group type: P3m1, No. 156

=====

Record 2
Material: ZrCoMo
Method: DFT, GGA-PBE
State: relaxed

Cell: 4.231 4.231 4.231 Å, 60.00 60.00 60.00°
Positions (direct):
Zr (0.000, 0.000, 0.000)
Co (0.750, 0.750, 0.750)
Mo (0.500, 0.500, 0.500)

Electronic total energy in eV per atom: -8.506
Relative energy among the computed polymorphs in eV per atom: 0.000
Space-group type: F-43m, No. 216
Formation enthalpy at 0 K in meV/atom: 328

=====

Record 3
Material: CsZn4AsP2
Method: DFT, GGA-PBE
State: relaxed

Cell: 4.129 4.129 10.576 Å, 90.00 90.00 90.00°
Positions (direct):
Cs (0.000, 0.000, 0.000)
Zn (0.000, 0.500, 0.342)
Zn (0.000, 0.500, 0.658)
Zn (0.500, 0.000, 0.342)
Zn (0.500, 0.000, 0.658)
As (0.000, 0.000, 0.500)
P (0.500, 0.500, 0.221)
P (0.500, 0.500, 0.779)

Electronic total energy in eV per atom: -2.973
Space-group type: P4/mmm, No. 123

=====

Record 4
Material: KLuFeS3
Method: DFT, GGA-PBE
State: relaxed

Cell: 10.248 3.910 14.115 Å, 90.00 90.00 90.00°
Positions (direct):
K (0.226, 0.250, 0.005)
K (0.274, 0.750, 0.505)
K (0.726, 0.250, 0.495)
K (0.774, 0.750, 0.995)
Lu (0.016, 0.750, 0.256)
Lu (0.484, 0.250, 0.756)
Lu (0.516, 0.750, 0.244)
Lu (0.984, 0.250, 0.744)
Fe (0.234, 0.750, 0.781)
Fe (0.266, 0.250, 0.281)
Fe (0.734, 0.750, 0.719)
Fe (0.766, 0.250, 0.219)
S (0.045, 0.750, 0.867)
S (0.086, 0.250, 0.375)
S (0.235, 0.250, 0.688)
S (0.265, 0.750, 0.188)
S (0.414, 0.750, 0.875)
S (0.455, 0.250, 0.367)
S (0.545, 0.750, 0.633)
S (0.586, 0.250, 0.125)
S (0.735, 0.250, 0.812)
S (0.765, 0.750, 0.312)
S (0.914, 0.750, 0.625)
S (0.955, 0.250, 0.133)

Electronic total energy in eV per atom: -5.713
Relative energy among the computed polymorphs in eV per atom: 0.018
Space-group type: Pnma, No. 62

=====

Record 5
Material: LuBiAu2
Method: DFT, GGA-PBE
State: relaxed

Cell: 5.018 5.018 5.018 Å, 60.00 60.00 60.00°
Positions (direct):
Lu (0.000, 0.000, 0.000)
Bi (0.750, 0.750, 0.750)
Au (0.250, 0.250, 0.250)
Au (0.500, 0.500, 0.500)

Electronic total energy in eV per atom: -4.159
Space-group type: F-43m, No. 216

=====

Record 6
Material: HoEr2Mg3Al2Hg
Method: DFT, GGA-PBE
State: relaxed

Cell: 4.498 7.367 7.367 Å, 120.10 90.00 90.00°
Positions (direct):
Ho (0.000, 0.000, 0.000)
Er (0.000, 0.427, 0.853)
Er (0.000, 0.853, 0.427)
Mg (0.500, 0.182, 0.427)
Mg (0.500, 0.427, 0.182)
Mg (0.500, 0.671, 0.671)
Al (0.500, 0.094, 0.760)
Al (0.500, 0.760, 0.094)
Hg (0.000, 0.427, 0.427)

Electronic total energy in eV per atom: -3.259
Space-group type: Amm2, No. 38

=====

Record 7
Material: TeAuNO
Method: DFT, GGA-PBE
State: relaxed

Cell: 3.616 3.616 8.449 Å, 90.00 90.00 90.00°
Positions (direct):
Te (0.250, 0.250, 0.161)
Te (0.750, 0.750, 0.839)
Au (0.250, 0.750, 0.500)
Au (0.750, 0.250, 0.500)
N (0.250, 0.250, 0.744)
N (0.750, 0.750, 0.256)
O (0.250, 0.750, 0.000)
O (0.750, 0.250, 0.000)

Electronic total energy in eV per atom: -4.110
Relative energy among the computed polymorphs in eV per atom: 0.556
Space-group type: P4/nmm, No. 129

=====

Record 8
Material: CuWS4
Method: DFT, GGA-PBE
State: relaxed

Cell: 20.403 3.205 3.205 Å, 60.00 90.00 90.00°
Positions (direct):
Cu (0.000, 0.000, 0.000)
W (0.500, 0.500, 0.500)
S (0.070, 0.333, 0.333)
S (0.423, 0.833, 0.833)
S (0.577, 0.833, 0.833)
S (0.930, 0.333, 0.333)

Electronic total energy in eV per atom: -5.752
Relative energy among the computed polymorphs in eV per atom: 0.000
Space-group type: Amm2, No. 38

=====

Record 9
Material: YEr2Al3CuSn2
Method: DFT, GGA-PBE
State: relaxed

Cell: 4.258 7.281 7.281 Å, 120.17 90.00 90.00°
Positions (direct):
Y (0.000, 0.000, 0.000)
Er (0.000, 0.225, 0.613)
Er (0.000, 0.613, 0.225)
Al (0.500, 0.388, 0.388)
Al (0.500, 0.612, 0.834)
Al (0.500, 0.834, 0.612)
Cu (0.000, 0.608, 0.608)
Sn (0.500, 0.281, 0.945)
Sn (0.500, 0.945, 0.281)

Electronic total energy in eV per atom: -4.827
Space-group type: Amm2, No. 38

=====

Record 10
Material: Be2HgTe
Method: DFT, GGA-PBE
State: relaxed

Cell: 4.822 4.822 4.822 Å, 60.00 60.00 60.00°
Positions (direct):
Be (0.000, 0.000, 0.000)
Be (0.250, 0.250, 0.250)
Hg (0.750, 0.750, 0.750)
Te (0.500, 0.500, 0.500)

Electronic total energy in eV per atom: -1.726
Space-group type: F-43m, No. 216

=====

Record 11
Material: HgB2Te
Method: DFT, GGA-PBE
State: relaxed

Cell: 4.699 4.699 4.699 Å, 60.00 60.00 60.00°
Positions (direct):
Hg (0.000, 0.000, 0.000)
B (0.250, 0.250, 0.250)
B (0.500, 0.500, 0.500)
Te (0.750, 0.750, 0.750)

Electronic total energy in eV per atom: -2.235
Space-group type: F-43m, No. 216

=====

Record 12
Material: KLuCdS3
Method: DFT, GGA-PBE
State: relaxed

Cell: 8.289 4.297 15.694 Å, 90.00 90.00 90.00°
Positions (direct):
K (0.057, 0.250, 0.199)
K (0.443, 0.750, 0.699)
K (0.557, 0.250, 0.301)
K (0.943, 0.750, 0.801)
Lu (0.249, 0.250, 0.961)
Lu (0.251, 0.750, 0.461)
Lu (0.749, 0.250, 0.539)
Lu (0.751, 0.750, 0.039)
Cd (0.115, 0.250, 0.648)
Cd (0.385, 0.750, 0.148)
Cd (0.615, 0.250, 0.852)
Cd (0.885, 0.750, 0.352)
S (0.003, 0.750, 0.579)
S (0.132, 0.750, 0.042)
S (0.225, 0.250, 0.797)
S (0.275, 0.750, 0.297)
S (0.368, 0.250, 0.542)
S (0.497, 0.250, 0.079)
S (0.503, 0.750, 0.921)
S (0.632, 0.750, 0.458)
S (0.725, 0.250, 0.703)
S (0.775, 0.750, 0.203)
S (0.868, 0.250, 0.958)
S (0.997, 0.250, 0.421)

Electronic total energy in eV per atom: -4.428
Relative energy among the computed polymorphs in eV per atom: 0.106
Space-group type: Pnma, No. 62

=====

> Look up the electronic total energy of the fourth one.

-5.713 eV per atom